Entry from Alexandria via LeMat-Bulk: a relaxed ZrSc2Rh2 crystal (PBE).

a = 7.839 Å, b = 7.839 Å, c = 2.987 Å
α = 90.00°, β = 90.00°, γ = 90.00°
Element x y z (fractional)
Sc (0.366, 0.866, 0.000)
Sc (0.866, 0.634, 0.000)
Sc (0.634, 0.134, 0.000)
Sc (0.134, 0.366, 0.000)
Rh (0.167, 0.667, 0.500)
Rh (0.667, 0.833, 0.500)
Rh (0.833, 0.333, 0.500)
Rh (0.333, 0.167, 0.500)
Zr (0.000, 0.000, 0.000)
Zr (0.500, 0.500, 0.000)

Output
Symmetry: P4/mbm (127)
DFT total energy: -0.2848 hartree per atom
Energy above the most stable polymorph in this dataset: 120 meV/atom
DOS at the Fermi energy: 9.71 states/eV/cell
Formation energy: -566 meV per atom